# 1
5
Lattice="4.428 0.000 0.000 0.000 4.428 0.000 0.000 0.000 4.428" Properties=species:S:1:pos:R:3 comment="ZnTeF3 | Alexandria via LeMat-Bulk | GGA-PBE | relaxed" sg="Pm-3m, No. 221" de_polymorph_ev_per_fu=1.56 rho_g_cm3=4.8 e_form_raw_ev_per_atom=-1.0165 pbc="T T T"
Zn 2.214 2.214 2.214
F 0.000 0.000 2.214
F 2.214 0.000 0.000
Te 0.000 0.000 0.000
F 0.000 2.214 0.000

# 2
80
Lattice="-6.137 7.181 -0.972 -4.746 -7.965 2.049 6.078 1.960 7.027" Properties=species:S:1:pos:R:3 comment="H12Ru3Pt5 | Alexandria via LeMat-Bulk | GGA-PBE | relaxed" energy_ev_per_cell=-371.1 sg="Ia-3d, No. 230" rho_g_cm3=13.0 pbc="T T T"
H 0.983 -3.280 6.406
H -4.136 -0.141 3.690
Ru -2.063 -2.056 5.565
H -1.156 -1.314 7.136
Pt -5.442 -0.392 0.539
H -3.979 -1.951 6.050
H -2.369 -2.089 1.312
Ru 0.152 1.534 2.649
Pt -2.728 0.946 1.026
Pt 0.000 0.000 0.000
Pt 0.666 -3.003 4.538
Pt -5.290 1.142 3.187
H -2.186 -1.290 3.743
Pt -2.077 0.229 7.079
H -2.619 2.465 4.362
H -3.845 4.832 2.796
Ru -5.623 2.644 0.918
H -4.810 4.193 0.034
Pt -3.068 3.590 -0.486
H -4.656 2.726 2.621
H -3.650 2.489 0.969
H -0.961 -3.657 5.309
H 0.531 3.192 6.559
Ru -3.748 -1.795 2.673
H -9.062 -1.190 1.506
Pt -2.758 5.517 4.054
Pt 0.122 6.104 5.676
H -3.148 -2.926 4.184
H -3.621 -0.613 1.091
Pt -3.778 2.775 5.701
H 0.005 -3.017 8.071
Pt -2.403 0.588 4.052
H -4.088 -3.502 1.728
H -0.829 7.574 5.267
H -6.138 1.046 4.770
Ru -1.057 2.971 5.432
H -3.977 -6.399 2.838
H 4.256 2.365 6.598
H 1.333 0.129 3.335
H -0.717 4.677 6.377
Pt 1.664 3.167 5.162
H -0.150 -1.551 5.484
Pt -2.373 -3.982 1.025
H -1.184 1.788 7.014
H 3.016 1.982 5.145
H -0.670 1.317 4.415
H -1.657 4.101 3.921
Ru -2.743 3.232 2.540
Pt -0.029 4.570 3.028
H -2.985 -0.328 5.630
H -1.820 1.503 2.475
H -2.094 7.174 3.840
Pt -2.048 -4.341 4.051
Pt -1.028 -1.599 2.404
H -0.826 3.126 2.055
Pt -6.469 -1.991 2.943
H -2.436 3.265 6.793
Pt -4.928 -4.929 2.428
H 2.702 -1.221 6.631
Ru -8.170 0.554 1.565
H -6.230 0.938 1.669
H -4.902 1.469 6.215
H -2.870 4.609 1.124
H -5.101 -1.786 4.091
H -7.822 -0.807 2.960
H -2.712 -5.998 4.265
H 0.296 2.961 4.014
Ru 0.817 -1.468 7.187
Pt 3.039 0.980 3.514
Pt 0.484 0.033 4.918
Ru -4.957 -0.359 5.456
H -1.935 -3.433 6.981
Ru -4.443 5.777 1.163
H 0.096 -0.293 1.890
H -5.337 -2.017 1.546
Ru 3.364 0.621 6.540
Ru -0.362 -4.602 6.942
H -7.507 2.397 1.474
H -5.788 4.456 1.699
H 1.425 0.238 6.436

# 3
8
Lattice="-2.644 4.398 -0.831 -2.344 -4.598 -0.619 -2.993 0.143 10.275" Properties=species:S:1:pos:R:3 comment="BaMgCd2 | Alexandria via LeMat-Bulk | GGA-PBE | relaxed" sg="P6_3/mmc, No. 194" formation_enthalpy_0k_ev_per_atom=-0.23 rho_g_cm3=5.1 pbc="T T T"
Mg 0.000 0.000 0.000
Mg -1.497 0.071 5.138
Cd -3.814 1.460 3.599
Cd -5.210 -1.468 8.807
Ba -3.192 -1.564 1.879
Ba -4.789 1.506 6.946
Cd -4.167 -1.518 5.226
Cd -2.771 1.410 0.018